Record 1
This record from the Alexandria database describes an optimized crystal structure of Tb2YTl2Cd2. The functional is GGA-PBE.

Its formation energy is -0.14 eV/atom. As for the density: 9082 kg/m³.

Cell lengths 5.0050, 5.0050, 26.3036 Å; angles 90.00, 90.00, 120.00 degrees
Space group R-3m (No. 166, hexagonal axes)
Asymmetric unit:
Tb1 0.0000 0.0000 0.1323 (multiplicity 6)
Y1 0.0000 0.0000 0.0000 (multiplicity 3)
Tl1 0.0000 0.0000 0.2703 (multiplicity 6)
Cd1 0.0000 0.0000 0.4249 (multiplicity 6)

---

Record 2
This record from the Alexandria database describes an optimized crystal structure of Ag4PbCl6. The functional is GGA-PBE.

As for the density: 4854 kg/m³. Its uncorrected formation energy is -0.5955 eV/atom.

Cell lengths 7.5093, 7.3900, 10.6855 Å; angles 90.00, 100.76, 90.00 degrees
Space group Cm (No. 8)
Asymmetric unit:
Ag1 0.0000 0.0000 0.0000 (multiplicity 2)
Ag2 0.0178 0.5000 0.0008 (multiplicity 2)
Ag3 0.3532 0.2471 0.3282 (multiplicity 4)
Pb1 0.1833 0.0000 0.6830 (multiplicity 2)
Cl1 0.0784 0.0000 0.2486 (multiplicity 2)
Cl2 0.0818 0.5000 0.2481 (multiplicity 2)
Cl3 0.2383 0.2437 0.9198 (multiplicity 4)
Cl4 0.4049 0.2507 0.5736 (multiplicity 4)